Record 1
Density functional theory data (PBE) for an optimized crystal structure of SnSeF.

Properties
- energy relative to the elements, uncorrected (eV per atom) = -1.180
- E_tot (Ha/atom) = -0.1580
- V (Å³/cell) = 286.5
- energy above the lowest structure with this stoichiometry (meV/atom) = 0

Unit cell a=7.9025 b=4.6410 c=8.1230 alpha=90.00 beta=105.90 gamma=90.00
Last column: nearest neighbours and their distance in Å.
Space group C2/m (No. 12)
Symmetry-distinct sites (fractional):
Sn 0.1830 0.0000 0.1677  3 F 2.30-2.49
Se 0.0325 0.5000 0.3637  1 Se 2.41
F 0.2117 0.5000 0.0691  3 Sn 2.30-2.49

Record 2
Density functional theory data (PBE) for an optimized crystal structure of SnSeF.

Properties
- energy relative to the elements, uncorrected (eV per atom) = -1.124
- E_tot (Ha/atom) = -0.1559
- V (Å³/cell) = 180.4
- energy above the lowest structure with this stoichiometry (meV/atom) = 57

Unit cell a=3.8857 b=3.8857 c=11.9506 alpha=90.00 beta=90.00 gamma=90.00
Last column: nearest neighbours and their distance in Å.
Space group I4mm (No. 107)
Symmetry-distinct sites (fractional):
Sn 0.0000 0.0000 0.0000  1 F 1.97
Se 0.0000 0.0000 0.5531  4 Sn 2.82
F 0.0000 0.0000 0.8354  1 Sn 1.97

Record 3
Density functional theory data (PBE) for an optimized crystal structure of SnSeF3.

Properties
- energy relative to the elements, uncorrected (eV per atom) = -1.301
- E_tot (Ha/atom) = -0.1441
- V (Å³/cell) = 90.8
- energy above the lowest structure with this stoichiometry (meV/atom) = 0

Unit cell a=4.4946 b=4.4946 c=4.4946 alpha=90.00 beta=90.00 gamma=90.00
Last column: nearest neighbours and their distance in Å.
Space group Pm-3m (No. 221)
Symmetry-distinct sites (fractional):
Sn 0.0000 0.0000 0.0000  6 F 2.25
Se 0.5000 0.5000 0.5000  12 F 3.18
F 0.0000 0.0000 0.5000  2 Sn 2.25

Record 4
Density functional theory data (PBE) for an optimized crystal structure of SnSeF.

Properties
- energy relative to the elements, uncorrected (eV per atom) = -1.124
- E_tot (Ha/atom) = -0.1559
- V (Å³/cell) = 277.6
- energy above the lowest structure with this stoichiometry (meV/atom) = 57

Unit cell a=5.4919 b=12.9292 c=3.9099 alpha=90.00 beta=90.00 gamma=90.00
Last column: nearest neighbours and their distance in Å.
Space group Pnnm (No. 58)
Symmetry-distinct sites (fractional):
Sn 0.2466 0.1844 0.0000  2 F 2.26
Se 0.2466 0.3511 0.5000  4 Sn 2.78-2.91
F 0.2466 0.0963 0.5000  2 Sn 2.26

Record 5
Density functional theory data (PBE) for an optimized crystal structure of Sn3SeF.

Properties
- energy relative to the elements, uncorrected (eV per atom) = 0.130
- E_tot (Ha/atom) = -0.1229
- V (Å³/cell) = 177.1
- energy above the lowest structure with this stoichiometry (meV/atom) = 369

Unit cell a=5.6158 b=5.6158 c=5.6158 alpha=90.00 beta=90.00 gamma=90.00
Last column: nearest neighbours and their distance in Å.
Space group Pm-3m (No. 221)
Symmetry-distinct sites (fractional):
Sn 0.0000 0.0000 0.5000  2 Se 2.81
Se 0.0000 0.0000 0.0000  6 Sn 2.81
F 0.5000 0.5000 0.5000  12 Sn 3.97

Record 6
Density functional theory data (PBE) for an optimized crystal structure of Sn3SeF.

Properties
- energy relative to the elements, uncorrected (eV per atom) = -0.239
- E_tot (Ha/atom) = -0.1364
- V (Å³/cell) = 128.3
- energy above the lowest structure with this stoichiometry (meV/atom) = 0

Unit cell a=5.0441 b=5.0441 c=5.0441 alpha=90.00 beta=90.00 gamma=90.00
Last column: nearest neighbours and their distance in Å.
Space group Pm-3m (No. 221)
Symmetry-distinct sites (fractional):
Sn 0.0000 0.0000 0.5000  2 F 2.52
Se 0.5000 0.5000 0.5000  12 Sn 3.57
F 0.0000 0.0000 0.0000  6 Sn 2.52

Record 7
Density functional theory data (PBE) for an optimized crystal structure of TlSnSe2F.

Properties
- energy relative to the elements, uncorrected (eV per atom) = -0.778
- E_tot (Ha/atom) = -0.1404
- V (Å³/cell) = 128.2

Unit cell a=5.3772 b=5.3772 c=4.4351 alpha=90.00 beta=90.00 gamma=90.00
Last column: nearest neighbours and their distance in Å.
Space group P4/mmm (No. 123)
Symmetry-distinct sites (fractional):
Tl 0.0000 0.0000 0.0000  8 Se 3.49, 4 F 3.80
Sn 0.5000 0.5000 0.5000  2 F 2.22
Se 0.0000 0.5000 0.5000  2 Sn 2.69
F 0.5000 0.5000 0.0000  2 Sn 2.22

Record 8
Density functional theory data (PBE) for an optimized crystal structure of TlSnSeF.

Properties
- energy relative to the elements, uncorrected (eV per atom) = -1.032
- E_tot (Ha/atom) = -0.1456
- V (Å³/cell) = 710.4

Unit cell a=4.0960 b=4.0960 c=48.8925 alpha=90.00 beta=90.00 gamma=120.00
Last column: nearest neighbours and their distance in Å.
Space group R-3m (No. 166, hexagonal axes)
Symmetry-distinct sites (fractional):
Tl 0.0000 0.0000 0.1311  4 F 2.53-2.57
Sn 0.0000 0.0000 0.3025  3 Se 2.79
Se 0.0000 0.0000 0.3945  3 Sn 2.79
F 0.0000 0.0000 0.1837  4 Tl 2.53-2.57

- What is the energy relative to the elements, uncorrected in the sixth record?
  -0.239 eV per atom

- Which of these has the lowest V?
  SnSeF3